Entry from the Alexandria database: a relaxed structure of K2AuF4 (GGA-PBE).

extended XYZ file:
```
7
Lattice="6.368 0.000 0.000 0.000 6.368 0.000 0.000 0.000 3.497" Properties=species:S:1:pos:R:3 pbc="T T T"
K 0.000 3.184 0.000
K 3.184 0.000 0.000
Au 0.000 0.000 1.749
F 1.498 1.498 1.749
F 1.498 4.870 1.749
F 4.870 1.498 1.749
F 4.870 4.870 1.749
```

Computed properties:
Space-group type: P4/mmm, No. 123
Polymorph energy (0 for the lowest one) (kcal/mol of atoms): 0.00
M_tot (μB/f.u.): 1.000
E_form (uncorrected) (eV per atom): -1.993
Energy (eV/cell): -26.91



Entry from the Alexandria database: a relaxed structure of IrOsRu2 (GGA-PBE).

extended XYZ file:
```
12
Lattice="2.735 0.000 0.000 -1.367 2.368 0.000 0.000 0.000 26.267" Properties=species:S:1:pos:R:3 pbc="T T T"
Ir 0.000 0.000 0.000
Ir 0.000 1.579 17.512
Ir 1.367 0.789 8.756
Os 0.000 0.000 21.928
Os 0.000 1.579 13.173
Os 1.367 0.789 4.417
Ru 0.000 0.000 11.026
Ru 0.000 0.000 15.297
Ru 0.000 1.579 2.270
Ru 0.000 1.579 6.541
Ru 1.367 0.789 19.781
Ru 1.367 0.789 24.052
```

Computed properties:
Space-group type: R3m, No. 160
Polymorph energy (0 for the lowest one) (kcal/mol of atoms): 0.00
M_tot (μB/f.u.): 0.000
Energy (eV/cell): -116.01
Calculated formation energy (eV/atom): -0.007



Entry from the Alexandria database: a relaxed structure of NaTl2Pb5 (GGA-PBE).

extended XYZ file:
```
16
Lattice="7.051 0.000 0.000 0.000 14.362 0.000 0.000 0.000 4.857" Properties=species:S:1:pos:R:3 pbc="T T T"
Na 0.000 0.000 0.000
Na 3.525 7.181 0.000
Tl 1.628 1.746 2.429
Tl 1.897 8.927 2.429
Tl 5.154 5.435 2.429
Tl 5.422 12.616 2.429
Pb 0.000 7.181 0.000
Pb 0.160 10.690 0.000
Pb 1.579 5.357 2.429
Pb 1.946 12.538 2.429
Pb 3.366 3.509 0.000
Pb 3.525 0.000 0.000
Pb 3.685 10.853 0.000
Pb 5.104 1.824 2.429
Pb 5.472 9.005 2.429
Pb 6.891 3.672 0.000
```

Computed properties:
Space-group type: Pbam, No. 55
Polymorph energy (0 for the lowest one) (kcal/mol of atoms): 0.00
M_tot (μB/f.u.): 0.000
Energy (eV/cell): -49.94
Calculated formation energy (eV/atom): -0.047



Entry from the Alexandria database: a relaxed structure of LiPrIn4Pd2 (GGA-PBE).

extended XYZ file:
```
8
Lattice="2.313 1.336 9.257 -2.313 1.336 9.257 0.000 -2.671 9.257" Properties=species:S:1:pos:R:3 pbc="T T T"
Li 0.000 0.000 0.000
Pr 0.000 0.000 13.886
In 0.000 0.000 2.840
In 0.000 0.000 10.281
In 0.000 0.000 17.490
In 0.000 0.000 24.932
Pd 0.000 0.000 7.400
Pd 0.000 0.000 20.371
```

Computed properties:
Space-group type: R-3m, No. 166
M_tot (μB/f.u.): 0.000
Energy (eV/cell): -32.05
Calculated formation energy (eV/atom): -0.502



Entry from the Alexandria database: a relaxed structure of YFe4Si (GGA-PBE).

extended XYZ file:
```
6
Lattice="0.000 3.470 3.470 3.470 0.000 3.470 3.470 3.470 0.000" Properties=species:S:1:pos:R:3 pbc="T T T"
Y 0.000 0.000 0.000
Fe 2.612 2.612 2.612
Fe 4.328 4.328 2.612
Fe 4.328 2.612 4.328
Fe 2.612 4.328 4.328
Si 5.205 5.205 5.205
```

Computed properties:
Space-group type: F-43m, No. 216
M_tot (μB/f.u.): 7.077
E_form (uncorrected) (eV per atom): -0.036
Energy (eV/cell): -45.95



Entry from the Alexandria database: a relaxed structure of PdRhC2 (GGA-PBE).

extended XYZ file:
```
16
Lattice="5.488 0.000 0.000 0.000 5.488 0.000 0.000 0.000 5.488" Properties=species:S:1:pos:R:3 pbc="T T T"
Pd 0.000 0.000 0.000
Pd 0.000 2.744 2.744
Pd 2.744 0.000 2.744
Pd 2.744 2.744 0.000
Rh 0.000 0.000 2.744
Rh 0.000 2.744 0.000
Rh 2.744 0.000 0.000
Rh 2.744 2.744 2.744
C 1.372 1.372 1.372
C 1.372 1.372 4.116
C 1.372 4.116 1.372
C 1.372 4.116 4.116
C 4.116 1.372 1.372
C 4.116 1.372 4.116
C 4.116 4.116 1.372
C 4.116 4.116 4.116
```

Computed properties:
Space-group type: Fm-3m, No. 225
Polymorph energy (0 for the lowest one) (kcal/mol of atoms): 19.42
M_tot (μB/f.u.): 0.000
Energy (eV/cell): -96.63
Calculated formation energy (eV/atom): 1.709



Entry from the Alexandria database: a relaxed structure of PrCd4Pt4 (GGA-PBE).

extended XYZ file:
```
18
Lattice="6.362 0.000 0.000 0.000 6.362 0.000 0.000 0.000 9.334" Properties=species:S:1:pos:R:3 pbc="T T T"
Pr 1.591 4.772 2.334
Pr 4.772 1.591 7.001
Cd 0.135 1.591 1.547
Cd 1.591 0.135 6.214
Cd 1.591 3.046 6.214
Cd 3.046 1.591 1.547
Cd 3.316 4.772 7.787
Cd 4.772 3.316 3.120
Cd 4.772 6.227 3.120
Cd 6.227 4.772 7.787
Pt 0.170 1.591 4.369
Pt 1.591 0.170 9.036
Pt 1.591 3.011 9.036
Pt 3.011 1.591 4.369
Pt 3.351 4.772 4.966
Pt 4.772 3.351 0.299
Pt 4.772 6.192 0.299
Pt 6.192 4.772 4.966
```

Computed properties:
Space-group type: P4_2/nmc, No. 137
M_tot (μB/f.u.): 0.000
Energy (eV/cell): -70.52
Calculated formation energy (eV/atom): -0.295



Entry from the Alexandria database: a relaxed structure of LaCd2Rh (GGA-PBE).

extended XYZ file:
```
4
Lattice="3.506 0.000 0.000 0.000 5.127 0.000 -1.643 0.000 5.129" Properties=species:S:1:pos:R:3 pbc="T T T"
La 0.000 0.000 0.000
Cd 0.103 2.563 3.687
Cd 1.759 2.563 1.442
Rh 0.931 0.000 2.565
```

Computed properties:
Space-group type: P2/m, No. 10
M_tot (μB/f.u.): 0.000
Energy (eV/cell): -15.43
Calculated formation energy (eV/atom): -0.330



Entry from the Alexandria database: a relaxed structure of Pr6Y2Er3Sc (GGA-PBE).

extended XYZ file:
```
12
Lattice="3.132 -5.425 0.000 3.132 5.425 0.000 -2.086 0.000 11.585" Properties=species:S:1:pos:R:3 pbc="T T T"
Pr -0.012 1.789 8.678
Pr 1.025 0.000 2.906
Pr -0.012 -1.789 8.678
Pr 4.191 1.789 2.907
Pr 3.154 0.000 8.678
Pr 4.191 -1.789 2.907
Y 2.090 1.809 5.792
Y 2.090 -1.809 5.792
Er 3.132 3.616 0.000
Er 3.132 0.000 0.000
Er 3.132 -3.616 0.000
Sc -1.043 0.000 5.792
```

Computed properties:
Space-group type: C2/m, No. 12
M_tot (μB/f.u.): 0.000
Energy (eV/cell): -61.34
Calculated formation energy (eV/atom): 0.024